## KTl4In3 (PBE)

Data for an optimized crystal structure of KTl4In3.

Computed properties:
energy of formation: -0.03 eV/atom
total magnetization: 0.000 μB/f.u.
SG: Pmma
DOS(E_F): 0.319 states/eV/atom
E: -2.38 eV per atom

a = 11.0914 Å, b = 7.8677 Å, c = 5.5437 Å
α = 90.00°, β = 90.00°, γ = 90.00°
Fractional coordinates of all 16 atoms:
K1 0.0000 0.0000 0.0000
K2 0.5000 0.0000 0.0000
Tl1 0.0000 0.2686 0.5000
Tl2 0.0000 0.7314 0.5000
Tl3 0.2500 0.2684 0.0010
Tl4 0.2500 0.7316 0.0010
Tl5 0.5000 0.2686 0.5000
Tl6 0.5000 0.7314 0.5000
Tl7 0.7500 0.2684 0.9990
Tl8 0.7500 0.7316 0.9990
In1 0.0000 0.5000 0.0000
In2 0.2500 0.0000 0.5008
In3 0.2500 0.5000 0.5010
In4 0.5000 0.5000 0.0000
In5 0.7500 0.0000 0.4992
In6 0.7500 0.5000 0.4990


## KTl3In3 (PBE)

Data for an optimized crystal structure of KTl3In3.

Computed properties:
energy of formation: 0.14 eV/atom
total magnetization: 0.000 μB/f.u.
SG: Pm-3n
polymorph energy (0 for the lowest one): 0.1768 eV/atom
DOS(E_F): 0.550 states/eV/atom
E: -2.20 eV per atom

a = 8.3598 Å, b = 8.3598 Å, c = 8.3598 Å
α = 90.00°, β = 90.00°, γ = 90.00°
Fractional coordinates of all 14 atoms:
K1 0.0000 0.0000 0.0000
K2 0.5000 0.5000 0.5000
Tl1 0.0000 0.2500 0.5000
Tl2 0.0000 0.7500 0.5000
Tl3 0.2500 0.5000 0.0000
Tl4 0.5000 0.0000 0.2500
Tl5 0.5000 0.0000 0.7500
Tl6 0.7500 0.5000 0.0000
In1 0.0000 0.5000 0.2500
In2 0.0000 0.5000 0.7500
In3 0.2500 0.0000 0.5000
In4 0.5000 0.2500 0.0000
In5 0.5000 0.7500 0.0000
In6 0.7500 0.0000 0.5000


## KTlIn (PBE)

Data for an optimized crystal structure of KTlIn.

Computed properties:
energy of formation: 0.03 eV/atom
total magnetization: 0.000 μB/f.u.
SG: P3m1
polymorph energy (0 for the lowest one): 0.1560 eV/atom
DOS(E_F): 0.708 states/eV/atom
E: -2.04 eV per atom

a = 3.6980 Å, b = 3.6980 Å, c = 8.4554 Å
α = 90.00°, β = 90.00°, γ = 120.00°
Fractional coordinates of all 3 atoms:
K1 0.0000 0.0000 0.0000
Tl1 0.6667 0.3333 0.3500
In1 0.3333 0.6667 0.6509


Question: Which of these has the highest E?
Answer: KTlIn